(1)
# PBE CsP5Au3, relaxed
data_CsP5Au3
_space_group_name_H-M_alt 'P 6/m m m'
_space_group_IT_number 191
_space_group_name_Hall '-P 6 2'
_cell_length_a 6.0902
_cell_length_b 6.0902
_cell_length_c 7.5246
_cell_angle_alpha 90.00
_cell_angle_beta 90.00
_cell_angle_gamma 120.00
loop_
_atom_site_label
_atom_site_type_symbol
_atom_site_fract_x
_atom_site_fract_y
_atom_site_fract_z
Cs1 Cs 0.0000 0.0000 0.0000
P1 P 0.0000 0.0000 0.5000
P2 P 0.3333 0.6667 0.2694
Au1 Au 0.0000 0.5000 0.5000
# Crystal system: hexagonal
# Total energy: -3.80 eV per atom



(2)
# PBE GdYZn6, relaxed
data_GdYZn6
_space_group_name_H-M_alt 'P 4/m m m'
_space_group_IT_number 123
_space_group_name_Hall '-P 4 2'
_cell_length_a 4.6854
_cell_length_b 4.6854
_cell_length_c 6.6230
_cell_angle_alpha 90.00
_cell_angle_beta 90.00
_cell_angle_gamma 90.00
loop_
_atom_site_label
_atom_site_type_symbol
_atom_site_fract_x
_atom_site_fract_y
_atom_site_fract_z
Gd1 Gd 0.0000 0.0000 0.0000
Y1 Y 0.5000 0.5000 0.5000
Zn1 Zn 0.0000 0.0000 0.5000
Zn2 Zn 0.0000 0.5000 0.2503
Zn3 Zn 0.5000 0.5000 0.0000
# Crystal system: tetragonal
# Total energy: -2.63 eV per atom
# Total magnetic moment: 0.00 μB/atom